--- a ---
Here is a geometry-optimized Mn2TcHOs structure from Alexandria. Energies are from GGA-PBE.

Lattice parameters (Å, degrees): 3.754 3.754 3.793 90.00 90.00 90.00
Fractional positions:
Mn 0.000 0.500 0.000
Mn 0.500 0.000 0.000
Tc 0.000 0.000 0.500
H 0.000 0.000 0.000
Os 0.500 0.500 0.500

Space-group type: P4/mmm, No. 123

***

--- b ---
Here is a geometry-optimized Mn2TcHOs structure from Alexandria. Energies are from GGA-PBE.

Lattice parameters (Å, degrees): 3.773 3.773 3.772 90.00 90.00 90.00
Fractional positions:
Mn 0.000 0.500 0.000
Mn 0.500 0.000 0.000
Tc 0.000 0.000 0.500
H 0.500 0.500 0.000
Os 0.500 0.500 0.500

Space-group type: P4/mmm, No. 123

***

Of them, a has the highest stability.

***

--- a ---
Here is a geometry-optimized MnP3H structure from Alexandria. Energies are from GGA-PBE.

Lattice parameters (Å, degrees): 3.810 3.810 3.810 90.00 90.00 90.00
Fractional positions:
Mn 0.000 0.000 0.000
P 0.000 0.500 0.500
P 0.500 0.000 0.500
P 0.500 0.500 0.000
H 0.500 0.500 0.500

Space-group type: Pm-3m, No. 221

***

--- b ---
Here is a geometry-optimized MnP3H structure from Alexandria. Energies are from GGA-PBE.

Lattice parameters (Å, degrees): 4.303 4.303 4.303 90.00 90.00 90.00
Fractional positions:
Mn 0.000 0.000 0.000
P 0.000 0.000 0.500
P 0.000 0.500 0.000
P 0.500 0.000 0.000
H 0.500 0.500 0.500

Space-group type: Pm-3m, No. 221

***

Of them, b has the highest stability.

***

--- a ---
Here is a geometry-optimized MnPH3 structure from Alexandria. Energies are from GGA-PBE.

Lattice parameters (Å, degrees): 3.323 3.323 3.323 90.00 90.00 90.00
Fractional positions:
Mn 0.000 0.000 0.000
P 0.500 0.500 0.500
H 0.000 0.000 0.500
H 0.000 0.500 0.000
H 0.500 0.000 0.000

Space-group type: Pm-3m, No. 221

***

--- b ---
Here is a geometry-optimized MnPH3 structure from Alexandria. Energies are from GGA-PBE.

Lattice parameters (Å, degrees): 3.519 3.519 3.519 90.00 90.00 90.00
Fractional positions:
Mn 0.000 0.000 0.000
P 0.500 0.500 0.500
H 0.000 0.500 0.500
H 0.500 0.000 0.500
H 0.500 0.500 0.000

Space-group type: Pm-3m, No. 221

***

Of them, a has the highest stability.

***

--- a ---
Here is a geometry-optimized MnPHS2 structure from Alexandria. Energies are from GGA-PBE.

Lattice parameters (Å, degrees): 4.666 4.666 3.155 90.00 90.00 90.00
Fractional positions:
Mn 0.000 0.000 0.000
P 0.500 0.500 0.000
H 0.500 0.500 0.500
S 0.000 0.500 0.500
S 0.500 0.000 0.500

Space-group type: P4/mmm, No. 123

***

--- b ---
Here is a geometry-optimized MnPHS2 structure from Alexandria. Energies are from GGA-PBE.

Lattice parameters (Å, degrees): 4.507 4.507 4.460 90.00 90.00 90.00
Fractional positions:
Mn 0.000 0.000 0.000
P 0.000 0.000 0.500
H 0.500 0.500 0.500
S 0.000 0.500 0.000
S 0.500 0.000 0.000

Space-group type: P4/mmm, No. 123

***

Of them, a has the highest stability.

***

--- a ---
Here is a geometry-optimized MnTcSnPH structure from Alexandria. Energies are from GGA-PBE.

Lattice parameters (Å, degrees): 7.651 7.651 7.651 157.09 156.76 32.86
Fractional positions:
Mn 0.000 0.000 0.000
Tc 0.181 0.181 0.000
Sn 0.846 0.346 0.500
P 0.598 0.598 0.000
H 0.248 0.748 0.500

Space-group type: Imm2, No. 44

***

--- b ---
Here is a geometry-optimized MnTcSnPH structure from Alexandria. Energies are from GGA-PBE.

Lattice parameters (Å, degrees): 3.012 4.141 6.034 99.06 90.04 111.16
Fractional positions:
Mn 0.000 0.000 0.000
Tc 0.747 0.492 0.300
Sn 0.505 0.014 0.615
P 0.285 0.568 0.013
H 0.972 0.950 0.281

Space-group type: P1, No. 1

***

Of them, a has the highest stability.

***

--- a ---
Here is a geometry-optimized MnTcSnPH structure from Alexandria. Energies are from GGA-PBE.

Lattice parameters (Å, degrees): 3.060 7.216 7.216 25.86 90.00 90.00
Fractional positions:
Mn 0.000 0.000 0.000
Tc 0.500 0.176 0.176
Sn 0.000 0.343 0.343
P 0.000 0.612 0.612
H 0.500 0.950 0.950

Space-group type: Amm2, No. 38

***

--- b ---
Here is a geometry-optimized MnTcSnPH structure from Alexandria. Energies are from GGA-PBE.

Lattice parameters (Å, degrees): 3.247 3.003 7.037 90.00 100.76 90.00
Fractional positions:
Mn 0.000 0.000 0.000
Tc 0.868 0.500 0.653
Sn 0.252 0.500 0.322
P 0.412 0.000 0.789
H 0.773 0.500 0.022

Space-group type: Pm, No. 6

***

Of them, a has the highest stability.

***

--- a ---
Here is a geometry-optimized MnTcSnPH structure from Alexandria. Energies are from GGA-PBE.

Lattice parameters (Å, degrees): 7.644 7.644 7.644 157.09 156.67 32.93
Fractional positions:
Mn 0.000 0.000 0.000
Tc 0.181 0.181 0.000
Sn 0.341 0.841 0.500
P 0.608 0.608 0.000
H 0.945 0.445 0.500

Space-group type: Imm2, No. 44

***

--- b ---
Here is a geometry-optimized MnTcSnPH structure from Alexandria. Energies are from GGA-PBE.

Lattice parameters (Å, degrees): 7.933 7.933 7.933 22.81 22.81 22.81
Fractional positions:
Mn 0.000 0.000 0.000
Tc 0.872 0.872 0.872
Sn 0.754 0.754 0.754
P 0.274 0.274 0.274
H 0.511 0.511 0.511

Space-group type: R3m, No. 160

***

--- c ---
Here is a geometry-optimized MnTcSnPH structure from Alexandria. Energies are from GGA-PBE.

Lattice parameters (Å, degrees): 4.214 4.214 5.902 100.97 100.97 41.46
Fractional positions:
Mn 0.000 0.000 0.000
Tc 0.285 0.285 0.693
Sn 0.506 0.506 0.383
P 0.709 0.709 0.974
H 0.808 0.808 0.522

Space-group type: Cm, No. 8

***

Of them, b has the highest stability.

***

--- a ---
Here is a geometry-optimized PaMnH4 structure from Alexandria. Energies are from GGA-PBE.

Lattice parameters (Å, degrees): 6.137 6.137 4.357 90.00 90.00 142.80
Fractional positions:
Pa 0.134 0.866 0.750
Pa 0.866 0.134 0.250
Mn 0.395 0.605 0.750
Mn 0.605 0.395 0.250
H 0.082 0.918 0.250
H 0.300 0.700 0.022
H 0.300 0.700 0.478
H 0.500 0.500 0.000
H 0.500 0.500 0.500
H 0.700 0.300 0.522
H 0.700 0.300 0.978
H 0.918 0.082 0.750

Space-group type: Cmcm, No. 63

***

--- b ---
Here is a geometry-optimized PaMnH4 structure from Alexandria. Energies are from GGA-PBE.

Lattice parameters (Å, degrees): 3.087 3.087 5.201 90.00 90.00 90.00
Fractional positions:
Pa 0.000 0.000 0.000
Mn 0.500 0.500 0.500
H 0.000 0.500 0.316
H 0.000 0.500 0.684
H 0.500 0.000 0.316
H 0.500 0.000 0.684

Space-group type: P4/mmm, No. 123

***

Of them, a has the highest stability.

***

--- a ---
Here is a geometry-optimized MnH2Pb structure from Alexandria. Energies are from GGA-PBE.

Lattice parameters (Å, degrees): 4.216 4.216 4.216 60.00 60.00 60.00
Fractional positions:
Mn 0.000 0.000 0.000
H 0.250 0.250 0.250
H 0.750 0.750 0.750
Pb 0.500 0.500 0.500

Space-group type: Fm-3m, No. 225

***

--- b ---
Here is a geometry-optimized MnH2Pb structure from Alexandria. Energies are from GGA-PBE.

Lattice parameters (Å, degrees): 5.743 5.743 5.743 129.62 129.62 74.01
Fractional positions:
Mn 0.000 0.000 0.000
Mn 0.750 0.250 0.500
H 0.375 0.165 0.290
H 0.835 0.125 0.210
H 0.875 0.085 0.710
H 0.915 0.625 0.790
Pb 0.250 0.750 0.500
Pb 0.500 0.500 0.000

Space-group type: I-42d, No. 122

***

Of them, b has the highest stability.

***

--- a ---
Here is a geometry-optimized MnHPd4 structure from Alexandria. Energies are from GGA-PBE.

Lattice parameters (Å, degrees): 6.210 6.210 6.210 109.05 109.05 110.33
Fractional positions:
Mn 0.000 0.000 0.000
Mn 0.750 0.250 0.500
H 0.323 0.823 0.500
H 0.573 0.573 0.000
Pd 0.073 0.388 0.315
Pd 0.073 0.757 0.685
Pd 0.138 0.323 0.815
Pd 0.471 0.173 0.702
Pd 0.471 0.769 0.298
Pd 0.507 0.323 0.185
Pd 0.519 0.721 0.798
Pd 0.923 0.721 0.202

Space-group type: I4_1md, No. 109

***

--- b ---
Here is a geometry-optimized MnHPd4 structure from Alexandria. Energies are from GGA-PBE.

Lattice parameters (Å, degrees): 4.758 4.851 7.417 109.08 93.19 90.08
Fractional positions:
Mn 0.250 0.182 0.000
Mn 0.750 0.818 0.000
H 0.000 0.500 0.500
H 0.500 0.000 0.500
Pd 0.217 0.964 0.614
Pd 0.231 0.569 0.806
Pd 0.269 0.764 0.194
Pd 0.283 0.350 0.385
Pd 0.717 0.650 0.615
Pd 0.731 0.236 0.806
Pd 0.769 0.431 0.194
Pd 0.783 0.036 0.386

Space-group type: P-1, No. 2

***

Of them, b has the highest stability.

***

--- a ---
Here is a geometry-optimized MnH2Pd2 structure from Alexandria. Energies are from GGA-PBE.

Lattice parameters (Å, degrees): 6.496 6.496 6.496 155.24 155.24 35.30
Fractional positions:
Mn 0.000 0.000 0.000
H 0.250 0.750 0.500
H 0.750 0.250 0.500
Pd 0.353 0.353 0.000
Pd 0.647 0.647 0.000

Space-group type: I4/mmm, No. 139

***

--- b ---
Here is a geometry-optimized MnH2Pd2 structure from Alexandria. Energies are from GGA-PBE.

Lattice parameters (Å, degrees): 5.501 5.501 3.633 90.00 90.00 90.00
Fractional positions:
Mn 0.000 0.000 0.000
Mn 0.500 0.500 0.000
H 0.178 0.322 0.000
H 0.322 0.822 0.000
H 0.678 0.178 0.000
H 0.822 0.678 0.000
Pd 0.181 0.319 0.500
Pd 0.319 0.819 0.500
Pd 0.681 0.181 0.500
Pd 0.819 0.681 0.500

Space-group type: P4/mbm, No. 127

***

--- c ---
Here is a geometry-optimized MnH2Pd2 structure from Alexandria. Energies are from GGA-PBE.

Lattice parameters (Å, degrees): 4.440 2.900 4.627 90.00 118.63 90.00
Fractional positions:
Mn 0.000 0.000 0.000
H 0.268 0.500 0.367
H 0.859 0.000 0.534
Pd 0.331 0.000 0.653
Pd 0.638 0.500 0.276

Space-group type: Pm, No. 6

***

Of them, c has the highest stability.

***

--- a ---
Here is a geometry-optimized Mn2HPd structure from Alexandria. Energies are from GGA-PBE.

Lattice parameters (Å, degrees): 3.995 3.995 3.995 60.00 60.00 60.00
Fractional positions:
Mn 0.250 0.250 0.250
Mn 0.750 0.750 0.750
H 0.000 0.000 0.000
Pd 0.500 0.500 0.500

Space-group type: Fm-3m, No. 225

***

--- b ---
Here is a geometry-optimized Mn2HPd structure from Alexandria. Energies are from GGA-PBE.

Lattice parameters (Å, degrees): 6.727 6.727 6.727 23.57 23.57 23.57
Fractional positions:
Mn 0.000 0.000 0.000
Mn 0.223 0.223 0.223
H 0.616 0.616 0.616
Pd 0.445 0.445 0.445

Space-group type: R3m, No. 160

***

Of them, b has the highest stability.